This record from Alexandria via LeMat-Bulk describes a geometry-optimized LiVCd2O structure. The functional is PBE+U. Values from VASP.

```
&SYSTEM
  ibrav = 0, nat = 5, ntyp = 4
/
ATOMIC_SPECIES
Li 6.94 Li.upf
O 16.00 O.upf
V 50.94 V.upf
Cd 112.41 Cd.upf
ATOMIC_POSITIONS crystal
Li 0.500 0.500 0.500
O 0.000 0.500 0.000
V 0.000 0.000 0.000
Cd 0.500 0.000 0.000
Cd 0.000 0.000 0.500
CELL_PARAMETERS angstrom
5.686 0.000 0.000
0.000 3.634 0.000
0.000 0.000 5.686
```

Results
energy = -16.9 eV per cell
density = 4.2 g cm⁻³
symmetry = P4/mmm
spin magnetization = 0.136 μB per cell
volume = 23.5 A^3/atom

=====

This record from Alexandria via LeMat-Bulk describes a geometry-optimized Li3Cd2WO6 structure. The functional is PBE+U. Values from VASP.

```
&SYSTEM
  ibrav = 0, nat = 12, ntyp = 4
/
ATOMIC_SPECIES
Li 6.94 Li.upf
O 16.00 O.upf
Cd 112.41 Cd.upf
W 183.84 W.upf
ATOMIC_POSITIONS crystal
Li 0.138 0.862 0.500
Li 0.500 0.500 0.500
Li 0.862 0.138 0.500
O 0.226 0.226 0.765
O 0.774 0.774 0.235
O 0.640 0.922 0.758
O 0.078 0.360 0.242
O 0.922 0.640 0.758
O 0.360 0.078 0.242
Cd 0.330 0.670 0.000
Cd 0.670 0.330 0.000
W 0.000 0.000 0.000
CELL_PARAMETERS angstrom
5.682 -0.051 0.028
-2.884 4.896 0.028
-0.909 -1.573 5.045
```

Results
energy = -64.6 eV per cell
density = 6.2 g cm⁻³
symmetry = C2/m
spin magnetization = 1.000 μB per cell
volume = 11.7 A^3/atom

=====

Question: The lowest volume belongs to which entry?
Answer: Li3Cd2WO6

=====

What did the first record say?
This record from Alexandria via LeMat-Bulk describes a geometry-optimized LiVCd2O structure. The functional is PBE+U. Values from VASP.

```
&SYSTEM
  ibrav = 0, nat = 5, ntyp = 4
/
ATOMIC_SPECIES
Li 6.94 Li.upf
O 16.00 O.upf
V 50.94 V.upf
Cd 112.41 Cd.upf
ATOMIC_POSITIONS crystal
Li 0.500 0.500 0.500
O 0.000 0.500 0.000
V 0.000 0.000 0.000
Cd 0.500 0.000 0.000
Cd 0.000 0.000 0.500
CELL_PARAMETERS angstrom
5.686 0.000 0.000
0.000 3.634 0.000
0.000 0.000 5.686
```

Results
energy = -16.9 eV per cell
density = 4.2 g cm⁻³
symmetry = P4/mmm
spin magnetization = 0.136 μB per cell
volume = 23.5 A^3/atom

=====

Question: What is the formula in the first record?
Answer: LiVCd2O